# 1
This record from the Alexandria database describes a relaxed Na2CrWF crystal. The functional is GGA-PBEsol.

Lattice parameters (Å, degrees): 5.850 5.850 4.412 90.00 90.00 90.00
Positions (direct):
Na: 0.000 0.500 0.000
Na: 0.500 0.000 0.000
Cr: 0.000 0.000 0.500
W: 0.000 0.000 0.000
F: 0.500 0.500 0.500

Properties
SG   P4/mmm (123)
E   -4.57 eV/atom
DOS(E_F)   2.6 states/eV/cell
ΔE_f (raw)   1181 meV per atom
Spin magnetization   0.18 μB/atom


# 2
This record from the Alexandria database describes a relaxed LiHgTe crystal. The functional is GGA-PBEsol.

Lattice parameters (Å, degrees): 4.397 4.397 4.179 90.00 90.00 120.00
Positions (direct):
Li: 0.000 0.000 0.000
Hg: 0.667 0.333 0.689
Te: 0.333 0.667 0.276

Properties
Energy above the lowest structure with this stoichiometry   0.000 eV/atom
SG   P3m1 (156)
E   -2.39 eV/atom
DOS(E_F)   0.9 states/eV/cell
ΔE_f (raw)   -367 meV per atom
Spin magnetization   0.00 μB/atom


Which of these has the lowest E?
Na2CrWF